Record 1
Computed, not measured: crystalline DyIn2Sb at its relaxed geometry at the GGA-PBE level of DFT.

a = 3.5234 Å, b = 3.5234 Å, c = 33.8566 Å
α = 90.00°, β = 90.00°, γ = 120.00°
Fractional positions:
Dy 0.0000 0.0000 0.0000
Dy 0.3333 0.6667 0.6667
Dy 0.6667 0.3333 0.3333
In 0.0000 0.0000 0.0930
In 0.0000 0.0000 0.9070
In 0.3333 0.6667 0.5737
In 0.3333 0.6667 0.7597
In 0.6667 0.3333 0.2403
In 0.6667 0.3333 0.4263
Sb 0.0000 0.0000 0.5000
Sb 0.3333 0.6667 0.1667
Sb 0.6667 0.3333 0.8333

## Properties
The spin magnetization is 0.00 μB per formula unit. The symmetry is R-3m. Its crystal system is trigonal. The value obtained for the formation energy from raw total energies is 0.16 eV per atom.

---

Record 2
Computed, not measured: crystalline Dy4InSbTe2 at its relaxed geometry at the GGA-PBE level of DFT.

a = 7.6410 Å, b = 4.2897 Å, c = 7.6542 Å
α = 90.00°, β = 108.56°, γ = 90.00°
Fractional positions:
Dy 0.2475 0.0000 0.2429
Dy 0.2508 0.5000 0.7621
Dy 0.7492 0.5000 0.2379
Dy 0.7525 0.0000 0.7571
In 0.0000 0.5000 0.0000
Sb 0.5000 0.0000 0.0000
Te 0.0000 0.0000 0.5000
Te 0.5000 0.5000 0.5000

## Properties
The spin magnetization is 0.00 μB per formula unit. The symmetry is P2/m. Its crystal system is monoclinic. The value obtained for the formation energy from raw total energies is -1.04 eV per atom.

---

Record 3
Computed, not measured: crystalline Dy2Sc2In7 at its relaxed geometry at the GGA-PBE level of DFT.

a = 7.3802 Å, b = 7.3802 Å, c = 6.0060 Å
α = 90.00°, β = 90.00°, γ = 96.56°
Fractional positions:
Dy 0.1920 0.1920 0.0000
Dy 0.8080 0.8080 0.0000
Sc 0.2674 0.7326 0.5000
Sc 0.7326 0.2674 0.5000
In 0.0000 0.0000 0.5000
In 0.0000 0.5000 0.2410
In 0.0000 0.5000 0.7590
In 0.5000 0.0000 0.2410
In 0.5000 0.0000 0.7590
In 0.5000 0.5000 0.2406
In 0.5000 0.5000 0.7594

## Properties
The spin magnetization is 0.00 μB per formula unit. The symmetry is Cmmm. Its crystal system is orthorhombic. As for the energy of formation: 47 meV per atom.

---

Record 4
Computed, not measured: crystalline Dy4ScIn at its relaxed geometry at the GGA-PBE level of DFT.

a = 3.4574 Å, b = 5.6306 Å, c = 9.2845 Å
α = 90.00°, β = 90.00°, γ = 90.00°
Fractional positions:
Dy 0.0000 0.0000 0.1871
Dy 0.0000 0.0000 0.8129
Dy 0.5000 0.5000 0.3082
Dy 0.5000 0.5000 0.6918
Sc 0.5000 0.0000 0.5000
In 0.0000 0.5000 0.0000

## Properties
The spin magnetization is 0.00 μB per formula unit. The symmetry is Pmmm. Its crystal system is orthorhombic. As for the energy of formation: 22 meV per atom.

---

Record 5
Computed, not measured: crystalline Dy12Sc5In2 at its relaxed geometry at the GGA-PBE level of DFT.

a = 8.6867 Å, b = 8.6867 Å, c = 8.2435 Å
α = 91.33°, β = 91.33°, γ = 62.85°
Fractional positions:
Dy 0.0562 0.0562 0.3269
Dy 0.0752 0.6758 0.3439
Dy 0.1617 0.5345 0.7631
Dy 0.3242 0.9248 0.6561
Dy 0.4112 0.4112 0.1169
Dy 0.4655 0.8383 0.2369
Dy 0.5345 0.1617 0.7631
Dy 0.5888 0.5888 0.8831
Dy 0.6758 0.0752 0.3439
Dy 0.8383 0.4655 0.2369
Dy 0.9248 0.3242 0.6561
Dy 0.9438 0.9438 0.6731
Sc 0.1878 0.1878 0.0090
Sc 0.2660 0.2660 0.4187
Sc 0.5000 0.5000 0.5000
Sc 0.7340 0.7340 0.5813
Sc 0.8122 0.8122 0.9910
In 0.1760 0.8240 0.0000
In 0.8240 0.1760 0.0000

## Properties
The spin magnetization is 0.00 μB per formula unit. The symmetry is C2/m. Its crystal system is monoclinic. As for the energy of formation: 22 meV per atom.

---

Record 6
Computed, not measured: crystalline Dy14ScIn at its relaxed geometry at the GGA-PBE level of DFT.

a = 6.9828 Å, b = 6.9828 Å, c = 9.9359 Å
α = 90.00°, β = 90.00°, γ = 90.00°
Fractional positions:
Dy 0.0000 0.0000 0.0000
Dy 0.0000 0.5000 0.0000
Dy 0.0000 0.5000 0.5000
Dy 0.2488 0.2488 0.2550
Dy 0.2488 0.2488 0.7450
Dy 0.2488 0.7512 0.2550
Dy 0.2488 0.7512 0.7450
Dy 0.5000 0.0000 0.0000
Dy 0.5000 0.0000 0.5000
Dy 0.5000 0.5000 0.0000
Dy 0.7512 0.2488 0.2550
Dy 0.7512 0.2488 0.7450
Dy 0.7512 0.7512 0.2550
Dy 0.7512 0.7512 0.7450
Sc 0.0000 0.0000 0.5000
In 0.5000 0.5000 0.5000

## Properties
The spin magnetization is 0.00 μB per formula unit. The symmetry is P4/mmm. Its crystal system is tetragonal. As for the energy of formation: -33 meV per atom.

---

Record 7
Computed, not measured: crystalline DySc2In4 at its relaxed geometry at the GGA-PBE level of DFT.

a = 7.2991 Å, b = 7.2991 Å, c = 6.9224 Å
α = 90.00°, β = 90.00°, γ = 90.00°
Fractional positions:
Dy 0.0000 0.0000 0.0000
Dy 0.5000 0.5000 0.5000
Sc 0.0000 0.5000 0.0000
Sc 0.0000 0.5000 0.5000
Sc 0.5000 0.0000 0.0000
Sc 0.5000 0.0000 0.5000
In 0.2500 0.2500 0.2500
In 0.2500 0.2500 0.7500
In 0.2500 0.7500 0.2500
In 0.2500 0.7500 0.7500
In 0.7500 0.2500 0.2500
In 0.7500 0.2500 0.7500
In 0.7500 0.7500 0.2500
In 0.7500 0.7500 0.7500

## Properties
The spin magnetization is 0.00 μB per formula unit. The symmetry is I4/mmm. Its crystal system is tetragonal. As for the energy of formation: -304 meV per atom.

---

Record 8
Computed, not measured: crystalline Dy3Sc4In at its relaxed geometry at the GGA-PBE level of DFT.

a = 10.7457 Å, b = 6.7225 Å, c = 5.8504 Å
α = 90.00°, β = 90.00°, γ = 90.00°
Fractional positions:
Dy 0.0000 0.1317 0.0000
Dy 0.2399 0.1241 0.3541
Dy 0.2601 0.8759 0.8541
Dy 0.5000 0.8683 0.5000
Dy 0.7399 0.8759 0.8541
Dy 0.7601 0.1241 0.3541
Sc 0.0000 0.3878 0.5390
Sc 0.0000 0.6221 0.0260
Sc 0.2422 0.6198 0.3635
Sc 0.2578 0.3802 0.8635
Sc 0.5000 0.3779 0.5260
Sc 0.5000 0.6122 0.0390
Sc 0.7422 0.3802 0.8635
Sc 0.7578 0.6198 0.3635
In 0.0000 0.8585 0.5218
In 0.5000 0.1415 0.0218

## Properties
The spin magnetization is 0.00 μB per formula unit. The symmetry is Pmn2_1. Its crystal system is orthorhombic. As for the energy of formation: -105 meV per atom.

---

Record 9
Computed, not measured: crystalline Dy5Sc2In5 at its relaxed geometry at the GGA-PBE level of DFT.

a = 6.3049 Å, b = 6.3049 Å, c = 11.7961 Å
α = 109.15°, β = 109.15°, γ = 47.28°
Fractional positions:
Dy 0.0000 0.0000 0.0000
Dy 0.1323 0.1323 0.7722
Dy 0.1549 0.1549 0.5002
Dy 0.8451 0.8451 0.4998
Dy 0.8677 0.8677 0.2278
Sc 0.4251 0.4251 0.7408
Sc 0.5749 0.5749 0.2592
In 0.2225 0.2225 0.2696
In 0.3351 0.3351 0.0419
In 0.5000 0.5000 0.5000
In 0.6649 0.6649 0.9581
In 0.7775 0.7775 0.7304

## Properties
The spin magnetization is 0.00 μB per formula unit. The symmetry is C2/m. Its crystal system is monoclinic. As for the energy of formation: -303 meV per atom.

---

Record 10
Computed, not measured: crystalline Dy4Sc3In at its relaxed geometry at the GGA-PBE level of DFT.

a = 14.3980 Å, b = 3.5869 Å, c = 9.0883 Å
α = 90.00°, β = 96.64°, γ = 90.00°
Fractional positions:
Dy 0.1333 0.0000 0.2390
Dy 0.1715 0.0000 0.8634
Dy 0.3285 0.5000 0.1366
Dy 0.3667 0.5000 0.7610
Dy 0.6333 0.5000 0.2390
Dy 0.6715 0.5000 0.8634
Dy 0.8285 0.0000 0.1366
Dy 0.8667 0.0000 0.7610
Sc 0.0000 0.5000 0.0000
Sc 0.1684 0.5000 0.5499
Sc 0.3316 0.0000 0.4501
Sc 0.5000 0.0000 0.0000
Sc 0.6684 0.0000 0.5499
Sc 0.8316 0.5000 0.4501
In 0.0000 0.0000 0.5000
In 0.5000 0.5000 0.5000

## Properties
The spin magnetization is 0.00 μB per formula unit. The symmetry is C2/m. Its crystal system is monoclinic. As for the energy of formation: 72 meV per atom.

---

Record 11
Computed, not measured: crystalline Dy4Sc5In at its relaxed geometry at the GGA-PBE level of DFT.

a = 7.6721 Å, b = 7.6721 Å, c = 7.6721 Å
α = 97.39°, β = 97.39°, γ = 137.98°
Fractional positions:
Dy 0.0000 0.3132 0.3132
Dy 0.0000 0.6868 0.6868
Dy 0.3132 0.0000 0.3132
Dy 0.6868 0.0000 0.6868
Sc 0.2321 0.2321 0.0000
Sc 0.3220 0.3220 0.6315
Sc 0.3220 0.6905 0.0000
Sc 0.6905 0.3220 0.0000
Sc 0.6905 0.6905 0.3685
In 0.7445 0.7445 0.0000

## Properties
The spin magnetization is 0.00 μB per formula unit. The symmetry is I4mm. Its crystal system is tetragonal. As for the energy of formation: 79 meV per atom.

---

Record 12
Computed, not measured: crystalline Dy2ScIn9 at its relaxed geometry at the GGA-PBE level of DFT.

a = 4.6034 Å, b = 4.6034 Å, c = 13.7849 Å
α = 90.00°, β = 90.00°, γ = 90.00°
Fractional positions:
Dy 0.0000 0.0000 0.1694
Dy 0.0000 0.0000 0.8306
Sc 0.0000 0.0000 0.5000
In 0.0000 0.5000 0.0000
In 0.0000 0.5000 0.3388
In 0.0000 0.5000 0.6612
In 0.5000 0.0000 0.0000
In 0.5000 0.0000 0.3388
In 0.5000 0.0000 0.6612
In 0.5000 0.5000 0.1682
In 0.5000 0.5000 0.5000
In 0.5000 0.5000 0.8318

## Properties
The spin magnetization is 0.00 μB per formula unit. The symmetry is P4/mmm. Its crystal system is tetragonal. As for the energy of formation: -377 meV per atom.

---

Record 13
Computed, not measured: crystalline Dy15Sc4In at its relaxed geometry at the GGA-PBE level of DFT.

a = 4.8786 Å, b = 4.8786 Å, c = 24.6768 Å
α = 90.00°, β = 90.00°, γ = 90.00°
Fractional positions:
Dy 0.0000 0.0000 0.0000
Dy 0.0000 0.0000 0.1989
Dy 0.0000 0.0000 0.3995
Dy 0.0000 0.0000 0.6005
Dy 0.0000 0.0000 0.8011
Dy 0.0000 0.5000 0.0997
Dy 0.0000 0.5000 0.2997
Dy 0.0000 0.5000 0.5000
Dy 0.0000 0.5000 0.7003
Dy 0.0000 0.5000 0.9003
Dy 0.5000 0.0000 0.0997
Dy 0.5000 0.0000 0.2997
Dy 0.5000 0.0000 0.5000
Dy 0.5000 0.0000 0.7003
Dy 0.5000 0.0000 0.9003
Sc 0.5000 0.5000 0.1999
Sc 0.5000 0.5000 0.3998
Sc 0.5000 0.5000 0.6002
Sc 0.5000 0.5000 0.8001
In 0.5000 0.5000 0.0000

## Properties
The spin magnetization is 0.00 μB per formula unit. The symmetry is P4/mmm. Its crystal system is tetragonal. As for the energy of formation: -23 meV per atom.

---

Record 14
Computed, not measured: crystalline Dy3ScIn2 at its relaxed geometry at the GGA-PBE level of DFT.

a = 3.3857 Å, b = 5.5017 Å, c = 18.4476 Å
α = 90.00°, β = 90.00°, γ = 90.00°
Fractional positions:
Dy 0.0000 0.0000 0.0000
Dy 0.0000 0.5000 0.1832
Dy 0.0000 0.5000 0.8168
Dy 0.5000 0.0000 0.3168
Dy 0.5000 0.0000 0.6832
Dy 0.5000 0.5000 0.5000
Sc 0.0000 0.5000 0.0000
Sc 0.5000 0.0000 0.5000
In 0.0000 0.5000 0.3531
In 0.0000 0.5000 0.6469
In 0.5000 0.0000 0.1469
In 0.5000 0.0000 0.8531

## Properties
The spin magnetization is 0.00 μB per formula unit. The symmetry is Immm. Its crystal system is orthorhombic. As for the energy of formation: 87 meV per atom.

---

Record 15
Computed, not measured: crystalline Dy2Sc3In at its relaxed geometry at the GGA-PBE level of DFT.

a = 10.4897 Å, b = 9.6504 Å, c = 6.2221 Å
α = 79.54°, β = 64.78°, γ = 35.68°
Fractional positions:
Dy 0.2458 0.7542 0.7542
Dy 0.2500 0.2500 0.2500
Dy 0.7500 0.7500 0.7500
Dy 0.7542 0.2458 0.2458
Sc 0.1662 0.1662 0.8338
Sc 0.1774 0.6554 0.3446
Sc 0.3446 0.8226 0.1774
Sc 0.6554 0.1774 0.8226
Sc 0.8226 0.3446 0.6554
Sc 0.8338 0.8338 0.1662
In 0.3297 0.3297 0.6703
In 0.6703 0.6703 0.3297

## Properties
The spin magnetization is 0.00 μB per formula unit. The symmetry is Fmmm. Its crystal system is orthorhombic. As for the energy of formation: -123 meV per atom.

---

Record 16
Computed, not measured: crystalline Dy12Sc6In at its relaxed geometry at the GGA-PBE level of DFT.

a = 8.9440 Å, b = 8.9440 Å, c = 8.9440 Å
α = 109.47°, β = 109.47°, γ = 109.47°
Fractional positions:
Dy 0.0809 0.2660 0.8149
Dy 0.1851 0.4512 0.2660
Dy 0.1851 0.9191 0.7340
Dy 0.2660 0.1851 0.4512
Dy 0.2660 0.8149 0.0809
Dy 0.4512 0.2660 0.1851
Dy 0.5488 0.7340 0.8149
Dy 0.7340 0.1851 0.9191
Dy 0.7340 0.8149 0.5488
Dy 0.8149 0.0809 0.2660
Dy 0.8149 0.5488 0.7340
Dy 0.9191 0.7340 0.1851
Sc 0.1400 0.5000 0.6400
Sc 0.3600 0.8600 0.5000
Sc 0.5000 0.3600 0.8600
Sc 0.5000 0.6400 0.1400
Sc 0.6400 0.1400 0.5000
Sc 0.8600 0.5000 0.3600
In 0.0000 0.0000 0.0000

## Properties
The spin magnetization is 0.00 μB per formula unit. The symmetry is Im-3. Its crystal system is cubic. As for the energy of formation: 147 meV per atom.

---

Record 17
Computed, not measured: crystalline Dy12Sc3In at its relaxed geometry at the GGA-PBE level of DFT.

a = 4.8759 Å, b = 4.8759 Å, c = 19.7499 Å
α = 90.00°, β = 90.00°, γ = 90.00°
Fractional positions:
Dy 0.0000 0.0000 0.0000
Dy 0.0000 0.0000 0.2486
Dy 0.0000 0.0000 0.5000
Dy 0.0000 0.0000 0.7514
Dy 0.0000 0.5000 0.1246
Dy 0.0000 0.5000 0.3746
Dy 0.0000 0.5000 0.6254
Dy 0.0000 0.5000 0.8754
Dy 0.5000 0.0000 0.1246
Dy 0.5000 0.0000 0.3746
Dy 0.5000 0.0000 0.6254
Dy 0.5000 0.0000 0.8754
Sc 0.5000 0.5000 0.2501
Sc 0.5000 0.5000 0.5000
Sc 0.5000 0.5000 0.7499
In 0.5000 0.5000 0.0000

## Properties
The spin magnetization is 0.00 μB per formula unit. The symmetry is P4/mmm. Its crystal system is tetragonal. As for the energy of formation: -38 meV per atom.

---

Record 18
Computed, not measured: crystalline Dy9Sc4In11 at its relaxed geometry at the GGA-PBE level of DFT.

a = 13.5653 Å, b = 13.5653 Å, c = 3.3908 Å
α = 90.00°, β = 90.00°, γ = 99.25°
Fractional positions:
Dy 0.0000 0.0000 0.0000
Dy 0.1265 0.6430 0.0000
Dy 0.2902 0.4615 0.0000
Dy 0.3570 0.8735 0.0000
Dy 0.4615 0.2902 0.0000
Dy 0.5385 0.7098 0.0000
Dy 0.6430 0.1265 0.0000
Dy 0.7098 0.5385 0.0000
Dy 0.8735 0.3570 0.0000
Sc 0.0647 0.2318 0.0000
Sc 0.2318 0.0647 0.0000
Sc 0.7682 0.9353 0.0000
Sc 0.9353 0.7682 0.0000
In 0.0795 0.4271 0.5000
In 0.1360 0.8640 0.5000
In 0.2546 0.2546 0.5000
In 0.3341 0.6659 0.5000
In 0.4271 0.0795 0.5000
In 0.5000 0.5000 0.5000
In 0.5729 0.9205 0.5000
In 0.6659 0.3341 0.5000
In 0.7454 0.7454 0.5000
In 0.8640 0.1360 0.5000
In 0.9205 0.5729 0.5000

## Properties
The spin magnetization is 0.12 μB per formula unit. The symmetry is Cmmm. Its crystal system is orthorhombic. As for the energy of formation: -379 meV per atom.

---

Record 19
Computed, not measured: crystalline Dy5ScIn3 at its relaxed geometry at the GGA-PBE level of DFT.

a = 9.2741 Å, b = 9.2741 Å, c = 6.6347 Å
α = 90.00°, β = 90.00°, γ = 120.00°
Fractional positions:
Dy 0.0000 0.3257 0.2500
Dy 0.0000 0.6743 0.7500
Dy 0.3257 0.0000 0.2500
Dy 0.3257 0.3257 0.7500
Dy 0.3333 0.6667 0.0000
Dy 0.3333 0.6667 0.5000
Dy 0.6667 0.3333 0.0000
Dy 0.6667 0.3333 0.5000
Dy 0.6743 0.0000 0.7500
Dy 0.6743 0.6743 0.2500
Sc 0.0000 0.0000 0.0000
Sc 0.0000 0.0000 0.5000
In 0.0000 0.3362 0.7500
In 0.0000 0.6638 0.2500
In 0.3362 0.0000 0.7500
In 0.3362 0.3362 0.2500
In 0.6638 0.0000 0.2500
In 0.6638 0.6638 0.7500

## Properties
The spin magnetization is 0.73 μB per formula unit. The symmetry is P6_3/mcm. Its crystal system is hexagonal. As for the energy of formation: -345 meV per atom.

---

Record 20
Computed, not measured: crystalline Dy2ScIn2 at its relaxed geometry at the GGA-PBE level of DFT.

a = 7.8724 Å, b = 7.8724 Å, c = 4.4244 Å
α = 90.00°, β = 90.00°, γ = 90.00°
Fractional positions:
Dy 0.1727 0.3273 0.0000
Dy 0.3273 0.8273 0.0000
Dy 0.6727 0.1727 0.0000
Dy 0.8273 0.6727 0.0000
Sc 0.0000 0.0000 0.5000
Sc 0.5000 0.5000 0.5000
In 0.1306 0.6306 0.5000
In 0.3694 0.1306 0.5000
In 0.6306 0.8694 0.5000
In 0.8694 0.3694 0.5000

## Properties
The spin magnetization is 0.00 μB per formula unit. The symmetry is P4/mbm. Its crystal system is tetragonal. As for the energy of formation: -373 meV per atom.